First-principles (GGA-PBE) data for an optimized crystal structure of TaTl4, as listed in Alexandria via LeMat-Bulk.

Calculated values
For the density of states at the Fermi level, the calculation gives 0.38 states/eV/atom. The total magnetization comes out at 0.000 μB/atom. The energy of formation from the pure elements is 0.55 eV/atom. The total energy is -3.71 eV per atom. As for the symmetry: Pm-3m. The calculation puts the distance to the lowest polymorph of the same formula at 0.000 eV per atom. For the volume, the calculation gives 168 Å³/cell.

```
data_TaTl4
_space_group_name_H-M_alt 'P 1'
_space_group_IT_number 1
_space_group_name_Hall 'P 1'
_cell_length_a 5.5214
_cell_length_b 5.5214
_cell_length_c 5.5214
_cell_angle_alpha 90.00
_cell_angle_beta 90.00
_cell_angle_gamma 90.00
loop_
_atom_site_label
_atom_site_type_symbol
_atom_site_fract_x
_atom_site_fract_y
_atom_site_fract_z
Tl1 Tl 0.0000 0.0000 0.0000
Tl2 Tl 0.5000 0.0000 0.5000
Tl3 Tl 0.0000 0.5000 0.5000
Tl4 Tl 0.5000 0.5000 0.0000
Ta1 Ta 0.5000 0.5000 0.5000
```